# RbSrIn2Ni (PBE, relaxed)
data_RbSrIn2Ni
_symmetry_space_group_name_H-M 'P 4/m m m'
_symmetry_Int_Tables_number 123
_symmetry_space_group_name_Hall '-P 4 2'
_cell_length_a 5.211
_cell_length_b 5.211
_cell_length_c 5.646
_cell_angle_alpha 90.00
_cell_angle_beta 90.00
_cell_angle_gamma 90.00
loop_
_atom_site_label
_atom_site_type_symbol
_atom_site_fract_x
_atom_site_fract_y
_atom_site_fract_z
Rb1 Rb 0.000 0.000 0.000
Sr1 Sr 0.500 0.500 0.000
In1 In 0.000 0.500 0.500
Ni1 Ni 0.500 0.500 0.500
# Total DFT energy (no corrections) in eV per cell: -14.28
# Calculated formation energy in meV/atom: -74

# RbTiIn2Ni (PBE, relaxed)
data_RbTiIn2Ni
_symmetry_space_group_name_H-M 'P 4/m m m'
_symmetry_Int_Tables_number 123
_symmetry_space_group_name_Hall '-P 4 2'
_cell_length_a 5.597
_cell_length_b 5.597
_cell_length_c 4.581
_cell_angle_alpha 90.00
_cell_angle_beta 90.00
_cell_angle_gamma 90.00
loop_
_atom_site_label
_atom_site_type_symbol
_atom_site_fract_x
_atom_site_fract_y
_atom_site_fract_z
Rb1 Rb 0.000 0.000 0.000
Ti1 Ti 0.500 0.500 0.500
In1 In 0.000 0.500 0.500
Ni1 Ni 0.500 0.500 0.000
# Total DFT energy (no corrections) in eV per cell: -17.95
# Calculated formation energy in meV/atom: 433

Per-record total magnetization, μB/atom: 0.00 0.13